[1]
Entry from the Open Quantum Materials Database: a geometry-optimized Al3Pd structure (PBE-GGA).

The total energy is -69.33 eV per cell.

The space group is Fm-3m (No. 225) and the conventional cell measures 6.306, 6.306 and 6.306 Å, with angles of 90.00, 90.00 and 90.00 degrees. The asymmetric unit holds Al at (0.000, 0.000, 0.000), Al at (0.250, 0.250, 0.250) and Pd at (0.000, 0.000, 0.500).

***

[2]
Entry from the Open Quantum Materials Database: a geometry-optimized SmHf4C2S structure (PBE-GGA).

The value obtained for the total magnetic moment is 0.6 μB per formula unit. The total energy is -74.12 eV per cell.

The space group is P-6m2 (No. 187) and the conventional cell measures 3.3416, 3.3416 and 14.5322 Å, with angles of 90.00, 90.00 and 120.00 degrees. The asymmetric unit holds Sm at (0.0000, 0.0000, 0.0000), Hf at (0.0000, 0.0000, 0.3749), Hf at (0.3333, 0.6667, 0.2050), C at (0.6667, 0.3333, 0.2912) and S at (0.3333, 0.6667, 0.5000).

***

[3]
Entry from the Open Quantum Materials Database: a geometry-optimized GdTm2Bi3 structure (PBE-GGA).

The value obtained for the total magnetic moment is 0.0 μB per formula unit. The total energy is -30.77 eV per cell.

The space group is P-3m1 (No. 164) and the conventional cell measures 4.4454, 4.4454 and 10.9048 Å, with angles of 90.00, 90.00 and 120.00 degrees. The asymmetric unit holds Gd at (0.0000, 0.0000, 0.0000), Tm at (0.3333, 0.6667, 0.3356), Bi at (0.0000, 0.0000, 0.5000) and Bi at (0.3333, 0.6667, 0.8288).

***

[4]
Entry from the Open Quantum Materials Database: a geometry-optimized Zr2Be2Pd3 structure (PBE-GGA).

The value obtained for the total magnetic moment is 0.0 μB per formula unit. The total energy is -127.64 eV per cell.

The space group is R3m (No. 160, hexagonal axes) and the conventional cell measures 4.3918, 4.3918 and 20.8260 Å, with angles of 90.00, 90.00 and 120.00 degrees. The asymmetric unit holds Zr at (0.0000, 0.0000, 0.0000), Zr at (0.0000, 0.0000, 0.4825), Be at (0.0000, 0.0000, 0.2371), Be at (0.0000, 0.0000, 0.7391), Pd at (0.0000, 0.0000, 0.3579), Pd at (0.0000, 0.0000, 0.6129) and Pd at (0.0000, 0.0000, 0.8664).